InGa14Bi | PBE | optimized geometry

Cell and atoms, written as POSCAR:
```
InGa14Bi
1.0
6.426 0.558 0.000
-2.005 6.131 0.000
0.000 0.000 8.151
Ga Bi In
14 1 1
Cartesian
-0.277 2.565 4.075
1.180 4.026 1.714
0.080 2.105 0.000
1.180 4.026 6.436
2.426 0.809 1.825
3.228 2.672 0.000
2.426 0.809 6.325
2.516 5.791 0.000
4.627 4.140 6.325
1.953 5.939 4.075
5.406 1.233 2.116
5.406 1.233 6.034
-1.069 5.512 0.000
4.627 4.140 1.825
2.785 2.965 4.075
-1.122 5.547 4.075
```

Results
As for the symmetry: Amm2. The density of states at the Fermi level is 4.353 states/eV per cell. Its crystal system is orthorhombic. The formation energy is 0.039 eV/atom. For the total moment, the calculation gives 0.000 μB/atom.

InGaBi | PBE | optimized geometry

Cell and atoms, written as POSCAR:
```
InGaBi
1.0
-1.207 -0.781 -2.837
3.029 -0.248 -1.215
-1.006 -7.411 4.268
Ga In Bi
1 1 1
Cartesian
0.373 -4.921 -1.299
-0.595 -2.389 0.196
1.487 -6.979 2.424
```

Results
As for the symmetry: P1. The density of states at the Fermi level is 1.183 states/eV per cell. Its crystal system is triclinic. The formation energy is 0.081 eV/atom. For the total moment, the calculation gives 0.000 μB/atom.

In6GaBi | PBE | optimized geometry

Cell and atoms, written as POSCAR:
```
In6GaBi
1.0
4.643 0.000 0.000
0.000 4.643 0.000
0.000 0.000 10.060
Ga In Bi
1 6 1
Cartesian
0.000 0.000 5.030
2.322 0.000 7.443
2.322 2.322 5.030
0.000 2.322 2.617
2.322 0.000 2.617
2.322 2.322 0.000
0.000 2.322 7.443
0.000 0.000 0.000
```

Results
As for the symmetry: P4/mmm. The density of states at the Fermi level is 2.884 states/eV per cell. Its crystal system is tetragonal. The formation energy is 0.035 eV/atom. For the total moment, the calculation gives 0.000 μB/atom.

InGaBi2 | PBE | optimized geometry

Cell and atoms, written as POSCAR:
```
InGaBi2
1.0
4.443 -0.322 -0.057
-3.146 4.594 0.041
-0.507 -0.369 11.886
Bi In Ga
4 2 2
Cartesian
0.759 0.499 4.953
-0.925 2.720 10.905
1.714 1.184 0.967
0.031 3.405 6.918
1.984 1.355 8.277
-1.194 2.549 3.594
-0.043 -0.040 9.754
0.832 3.944 2.117
```

Results
As for the symmetry: P-1. The density of states at the Fermi level is 3.682 states/eV per cell. Its crystal system is triclinic. The formation energy is 0.056 eV/atom. For the total moment, the calculation gives 0.000 μB/atom.